(1)
# Sm5ThSe7

Crystalline Sm5ThSe7 at its relaxed geometry (GGA-PBE, Alexandria via LeMat-Bulk).

Computed properties:
- formation energy (no corrections) (eV/atom) = -1.794
- total energy (eV per atom) = -6.056
- symmetry = No. 8
- total moment (μB/f.u.) = 0.00

Cell lengths 4.093, 7.218, 24.497 Å; angles 92.16, 90.00, 106.47 degrees
Fractional positions:
Se: 0.085 0.170 0.888
Se: 0.634 0.267 0.463
Se: 0.201 0.402 0.182
Se: 0.444 0.888 0.248
Se: 0.556 0.113 0.752
Se: 0.102 0.204 0.617
Se: 0.366 0.733 0.537
Se: 0.916 0.833 0.112
Se: 0.639 0.277 0.039
Se: 0.176 0.352 0.320
Se: 0.363 0.725 0.961
Se: 0.898 0.796 0.383
Se: 0.800 0.600 0.818
Se: 0.824 0.648 0.680
Sm: 0.729 0.458 0.569
Sm: 0.718 0.436 0.930
Sm: 0.556 0.111 0.146
Sm: 0.543 0.086 0.355
Sm: 0.283 0.567 0.070
Sm: 0.445 0.891 0.854
Sm: 0.457 0.915 0.645
Sm: 0.000 0.000 0.500
Sm: 0.271 0.542 0.430
Sm: 0.001 0.001 0.000
Th: 0.792 0.584 0.263
Th: 0.209 0.417 0.737

=====

(2)
# Sr2AgSbO6

Crystalline Sr2AgSbO6 at its relaxed geometry (GGA-PBE, Alexandria via LeMat-Bulk).

Computed properties:
- formation energy (no corrections) (eV/atom) = -1.748
- total energy (eV per atom) = -5.756
- symmetry = No. 14
- total moment (μB/f.u.) = 0.00

Cell lengths 5.308, 5.542, 10.103 Å; angles 90.00, 93.30, 90.00 degrees
Fractional positions:
O: 0.743 0.264 0.572
O: 0.269 0.741 0.071
O: 0.243 0.236 0.072
O: 0.757 0.764 0.928
O: 0.231 0.241 0.429
O: 0.094 0.492 0.815
O: 0.594 0.008 0.315
O: 0.731 0.259 0.929
O: 0.257 0.736 0.428
O: 0.406 0.992 0.685
O: 0.906 0.508 0.185
O: 0.769 0.759 0.571
Sr: 0.527 0.518 0.743
Sr: 0.973 0.018 0.757
Sr: 0.473 0.482 0.257
Sr: 0.027 0.982 0.243
Ag: 0.000 0.500 0.500
Ag: 0.500 0.000 0.000
Sb: 0.500 0.000 0.500
Sb: 0.000 0.500 0.000

=====

(3)
# Li3ScF6

Crystalline Li3ScF6 at its relaxed geometry (GGA-PBE, Alexandria via LeMat-Bulk).

Computed properties:
- excess energy over the best structure of this formula in the dataset (meV/atom) = 31.5
- formation energy (no corrections) (eV/atom) = -3.326
- total energy (eV per atom) = -5.656
- symmetry = No. 14
- total moment (μB/f.u.) = 0.00

Cell lengths 5.213, 5.213, 8.051 Å; angles 90.00, 89.63, 90.00 degrees
Fractional positions:
F: 0.665 0.179 0.947
F: 0.165 0.321 0.447
F: 0.334 0.818 0.402
F: 0.166 0.318 0.098
F: 0.640 0.385 0.274
F: 0.666 0.182 0.598
F: 0.834 0.682 0.902
F: 0.360 0.615 0.726
F: 0.835 0.679 0.553
F: 0.140 0.115 0.774
F: 0.335 0.821 0.053
F: 0.860 0.885 0.226
Li: 0.504 0.024 0.229
Li: 0.000 0.000 0.500
Li: 0.496 0.976 0.771
Li: 0.500 0.500 0.000
Li: 0.996 0.524 0.271
Li: 0.004 0.476 0.729
Sc: 0.500 0.500 0.500
Sc: 0.000 0.000 0.000